This record from the Alexandria database describes CsGaHg2 after structural relaxation. The functional is PBE-GGA.

Cell lengths 6.546, 6.546, 9.332 Å; angles 69.47, 69.47, 90.00 degrees
Atoms (fractional coordinates):
Cs  0.000  0.000  0.000
Cs  0.750  0.250  0.500
Hg  0.434  0.125  0.250
Hg  0.316  0.625  0.250
Hg  0.375  0.566  0.750
Hg  0.875  0.684  0.750
Ga  0.500  0.500  0.000
Ga  0.250  0.750  0.500

Computed properties:
* D(E_F): 0.37 states/eV/cell
* formation energy: -98 meV/atom
* size of the total moment: 0.0 μB per cell

***

This record from the Alexandria database describes InMoPb2 after structural relaxation. The functional is PBE-GGA.

Cell lengths 3.175, 3.175, 10.391 Å; angles 90.00, 90.00, 107.63 degrees
Atoms (fractional coordinates):
In  0.000  0.000  0.535
Mo  0.500  0.500  0.737
Pb  0.000  0.000  0.953
Pb  0.500  0.500  0.275

Computed properties:
* D(E_F): 3.00 states/eV/cell
* formation energy: 463 meV/atom
* size of the total moment: 0.0 μB per cell

***

This record from the Alexandria database describes PuUIrRh after structural relaxation. The functional is PBE-GGA.

Cell lengths 4.630, 4.630, 4.630 Å; angles 60.00, 60.00, 60.00 degrees
Last column: magnetic moment on the atom in μB.
Atoms (fractional coordinates):
Rh  0.250  0.250  0.250  -0.20
Ir  0.500  0.500  0.500  -0.20
U  0.750  0.750  0.750  0.41
Pu  0.000  0.000  0.000  4.26

Computed properties:
* D(E_F): 5.78 states/eV/cell
* formation energy: -542 meV/atom
* size of the total moment: 4.2 μB per cell

***

Which of these has the lowest formation energy? PuUIrRh

***

What is the size of the total moment in the second record? 0.0 μB per cell

***

Which value of D(E_F) does entry 1 give? 0.37 states/eV/cell